1.
Computed, not measured: LiZn2Ag at its PBEsol-relaxed geometry at the SCAN level of DFT.

a b c (Å): 4.838 4.838 2.715
angles (deg): 90.00 90.00 112.56
Sites, in units of the cell vectors:
Li 0.000 0.000 0.000
Zn 0.000 0.500 0.500
Zn 0.500 0.000 0.500
Ag 0.500 0.500 0.000

- Final energy: -61.2 eV per cell
- Magnetic moment: 0.000 μB/atom
- Crystal system: orthorhombic
- Energy of formation: -0.4 eV/f.u.
- Space-group type: Cmmm, No. 65



2.
Computed, not measured: KSb2Ru at its PBEsol-relaxed geometry at the SCAN level of DFT.

a b c (Å): 3.264 3.264 8.609
angles (deg): 90.00 90.00 90.00
Sites, in units of the cell vectors:
K 0.000 0.000 0.000
Sb 0.500 0.500 0.315
Sb 0.500 0.500 0.685
Ru 0.000 0.000 0.500

- Final energy: -118.5 eV per cell
- Magnetic moment: 0.215 μB/atom
- ΔE_f (raw): -0.21 eV per atom
- Crystal system: tetragonal
- Space-group type: P4/mmm, No. 123
- Energy relative to the lowest polymorph listed for this composition: 0 kJ/mol of formula units



3.
Computed, not measured: LiSe2Cl at its PBEsol-relaxed geometry at the SCAN level of DFT.

a b c (Å): 3.623 3.623 7.432
angles (deg): 90.00 90.00 90.07
Sites, in units of the cell vectors:
Li 0.000 0.000 0.000
Se 0.250 0.750 0.500
Se 0.750 0.250 0.500
Cl 0.500 0.500 0.000

- Final energy: -53.7 eV per cell
- Magnetic moment: 0.000 μB/atom
- ΔE_f (raw): -0.79 eV per atom
- Crystal system: orthorhombic
- Space-group type: Cmmm, No. 65
- Energy relative to the lowest polymorph listed for this composition: 14 kJ/mol of formula units